The following is a DFT calculation (PBE with a Hubbard U) of K2VH2F6 after structural relaxation.

a = 9.1276 Å, b = 5.8068 Å, c = 6.5688 Å
α = 90.00°, β = 124.27°, γ = 90.00°
Space group C2/m (No. 12)
One atom of each set of equivalent atoms:
1 K 0.2375 0.0000 0.1955 (multiplicity 4)
2 V 0.0000 0.0000 0.5000 (multiplicity 2)
3 H 0.1193 0.5000 0.2482 (multiplicity 4)
4 F 0.0194 0.2516 0.2895 (multiplicity 8)
5 F 0.2131 0.5000 0.2157 (multiplicity 4)

Summary:
**Final energy**: -4.778 eV/atom
**Calculated volume**: 288 Å³/cell